No. 1
5
Lattice="4.538 0.000 0.000 0.000 4.780 0.000 0.000 0.000 4.538" Properties=species:S:1:pos:R:3 comment="AlCrInSi2 (PBE, relaxed)" raw_formation_energy_mev_per_atom=281 sg="P4/mmm (123)" pbc="T T T"
Cr 0.000 0.000 0.000
Al 0.000 2.390 0.000
Si 0.000 0.000 2.269
Si 2.269 0.000 0.000
In 2.269 2.390 2.269

***

No. 2
4
Lattice="-0.108 -1.435 3.256 2.683 -1.289 -0.479 5.259 3.288 1.623" Properties=species:S:1:pos:R:3 comment="Ta2BeOs (PBE, relaxed)" delta_e_f_ev_per_atom=-0.07 sg="P2/m (10)" pbc="T T T"
Os 5.902 0.781 2.486
Be 1.931 -0.218 1.914
Ta 3.952 0.976 0.561
Ta 2.702 -1.266 -0.468

***

No. 3
4
Lattice="5.224 -0.042 0.000 2.354 4.664 0.000 -3.789 -2.311 2.756" Properties=species:S:1:pos:R:3 comment="Zr2MnBe (PBE, relaxed)" delta_e_f_ev_per_atom=0.11 sg="I-4m2 (119)" pbc="T T T"
Zr 0.000 0.000 0.000
Zr 1.177 2.332 1.378
Be 3.789 2.311 0.000
Mn 2.612 -0.021 1.378

***

No. 4
8
Lattice="-2.199 2.199 4.199 2.199 -2.199 4.199 2.199 2.199 -4.199" Properties=species:S:1:pos:R:3 comment="ScAlN2 (PBE, relaxed)" raw_formation_energy_mev_per_atom=-1445 sg="I4_1/amd (141)" pbc="T T T"
N 0.000 0.000 6.193
N 0.000 0.000 2.204
N 2.199 0.000 0.105
N 2.199 0.000 4.094
Al 0.000 0.000 4.199
Al 2.199 0.000 2.099
Sc 0.000 0.000 0.000
Sc 0.000 2.199 2.099

***

Per-record DFT total energy, eV/atom: -5.109 -9.736 -7.385 -8.126